Record 1
A relaxed TlIrBr6 crystal, computed with PBE-GGA.

Output
Energy relative to the lowest polymorph listed for this composition = 0.059 eV per atom

a b c (Å): 6.758 6.758 6.870
angles (deg): 99.47 99.47 119.07
Positions (direct):
Tl 0.000 0.000 0.000
Ir 0.500 0.500 0.500
Br 0.268 0.268 0.720
Br 0.434 0.131 0.278
Br 0.732 0.732 0.280
Br 0.869 0.566 0.722
Br 0.566 0.869 0.722
Br 0.131 0.434 0.278


Record 2
A relaxed Tl2IrBr crystal, computed with PBE-GGA.

Output
Energy relative to the lowest polymorph listed for this composition = 0.466 eV per atom

a b c (Å): 5.175 5.175 5.175
angles (deg): 60.00 60.00 60.00
Positions (direct):
Tl 0.250 0.250 0.250
Tl 0.750 0.750 0.750
Ir 0.500 0.500 0.500
Br 0.000 0.000 0.000


Record 3
A relaxed Tl2IrBr crystal, computed with PBE-GGA.

Output
Energy relative to the lowest polymorph listed for this composition = 0.000 eV per atom

a b c (Å): 4.383 5.773 5.779
angles (deg): 55.34 90.00 90.00
Positions (direct):
Tl 0.000 0.902 0.902
Tl 0.500 0.260 0.260
Ir 0.500 0.755 0.755
Br 0.000 0.584 0.584


Record 4
A relaxed Tl3IrBr crystal, computed with PBE-GGA.

Output
Energy relative to the lowest polymorph listed for this composition = 1.234 eV per atom

a b c (Å): 5.976 5.976 5.976
angles (deg): 90.00 90.00 90.00
Site moments in Bohr magnetons follow the coordinates.
Positions (direct):
Tl 0.000 0.500 0.000  -0.03
Tl 0.000 0.000 0.500  -0.03
Tl 0.500 0.000 0.000  -0.03
Ir 0.500 0.500 0.500  1.55
Br 0.000 0.000 0.000  0.00


Record 5
A relaxed TlIr2Br crystal, computed with PBE-GGA.

Output
Energy relative to the lowest polymorph listed for this composition = 0.461 eV per atom

a b c (Å): 8.762 8.762 8.762
angles (deg): 20.57 20.57 20.57
Positions (direct):
Tl 0.250 0.250 0.250
Ir 0.002 0.002 0.002
Ir 0.498 0.498 0.498
Br 0.750 0.750 0.750


Record 6
A relaxed TlIr2Br crystal, computed with PBE-GGA.

Output
Energy relative to the lowest polymorph listed for this composition = 0.054 eV per atom

a b c (Å): 2.791 3.911 8.992
angles (deg): 90.00 90.00 90.00
Positions (direct):
Tl 0.000 0.000 0.454
Ir 0.000 0.000 0.100
Ir 0.500 0.500 0.194
Br 0.500 0.500 0.751


Number 1: formation energy from raw total energies -0.3043 eV/atom. Number 2: formation energy from raw total energies 0.6325 eV/atom. Number 3: formation energy from raw total energies 0.1670 eV/atom. Number 4: formation energy from raw total energies 0.9974 eV/atom. Number 5: formation energy from raw total energies 0.8640 eV/atom. Number 6: formation energy from raw total energies 0.4568 eV/atom.